VASP calculation (PBE-GGA) on PrAg2Pd9 after structural relaxation.

Values from the calculation:
energy of formation from the pure elements = -0.210 eV/atom
total magnetization = 0.0000 μB per atom

Cell: 5.322 5.322 9.306 Å, 73.39 73.39 60.00°
Atoms (fractional coordinates):
Pr (0.000, 0.000, 0.000)
Ag (0.852, 0.852, 0.444)
Ag (0.148, 0.148, 0.556)
Pd (0.666, 0.666, 0.001)
Pd (0.334, 0.334, 0.999)
Pd (0.500, 0.500, 0.500)
Pd (0.412, 0.412, 0.258)
Pd (0.917, 0.412, 0.258)
Pd (0.412, 0.917, 0.258)
Pd (0.588, 0.588, 0.742)
Pd (0.588, 0.083, 0.742)
Pd (0.083, 0.588, 0.742)

VASP calculation (PBE-GGA) on Pr6Ag2Pd after structural relaxation.

Values from the calculation:
energy of formation from the pure elements = -0.186 eV/atom
total magnetization = 0.0000 μB per atom

Cell: 6.468 8.067 10.716 Å, 90.00 91.92 90.00°
Atoms (fractional coordinates):
Pr (0.856, 0.957, 0.242)
Pr (0.849, 0.660, 0.552)
Pr (0.856, 0.706, 0.941)
Pr (0.644, 0.206, 0.559)
Pr (0.651, 0.160, 0.948)
Pr (0.644, 0.457, 0.258)
Pr (0.144, 0.043, 0.758)
Pr (0.151, 0.340, 0.448)
Pr (0.144, 0.294, 0.059)
Pr (0.356, 0.794, 0.441)
Pr (0.349, 0.840, 0.052)
Pr (0.356, 0.543, 0.742)
Ag (0.909, 0.391, 0.771)
Ag (0.591, 0.891, 0.729)
Ag (0.409, 0.109, 0.271)
Ag (0.091, 0.609, 0.229)
Pd (0.500, 0.500, 0.000)
Pd (0.000, 0.000, 0.500)

VASP calculation (PBE-GGA) on Pr3Ag2Pd after structural relaxation.

Values from the calculation:
energy of formation from the pure elements = -0.249 eV/atom
distance to the lowest polymorph of the same formula = 150 meV per atom
total magnetization = 0.0000 μB per atom

Cell: 6.134 8.135 7.960 Å, 104.87 112.66 90.00°
Atoms (fractional coordinates):
Pr (0.501, 0.250, 0.000)
Pr (0.499, 0.750, 0.000)
Pr (0.149, 0.076, 0.299)
Pr (0.850, 0.424, 0.701)
Pr (0.150, 0.576, 0.299)
Pr (0.851, 0.924, 0.701)
Ag (0.676, 0.587, 0.352)
Ag (0.675, 0.087, 0.352)
Ag (0.325, 0.913, 0.648)
Ag (0.324, 0.413, 0.648)
Pd (0.999, 0.750, 0.000)
Pd (0.001, 0.250, 0.000)

VASP calculation (PBE-GGA) on Pr4AgPd after structural relaxation.

Values from the calculation:
energy of formation from the pure elements = -0.341 eV/atom
distance to the lowest polymorph of the same formula = 0 meV per atom
total magnetization = 0.0000 μB per atom

Cell: 10.004 10.004 10.004 Å, 60.00 60.00 60.00°
Atoms (fractional coordinates):
Pr (0.393, 0.393, 0.393)
Pr (0.820, 0.393, 0.393)
Pr (0.393, 0.820, 0.393)
Pr (0.393, 0.393, 0.820)
Pr (0.559, 0.559, 0.941)
Pr (0.941, 0.941, 0.559)
Pr (0.559, 0.941, 0.559)
Pr (0.941, 0.559, 0.941)
Pr (0.941, 0.559, 0.559)
Pr (0.559, 0.941, 0.941)
Pr (0.185, 0.185, 0.815)
Pr (0.815, 0.815, 0.185)
Pr (0.185, 0.815, 0.185)
Pr (0.815, 0.185, 0.815)
Pr (0.815, 0.185, 0.185)
Pr (0.185, 0.815, 0.815)
Ag (0.167, 0.167, 0.167)
Ag (0.499, 0.167, 0.167)
Ag (0.167, 0.499, 0.167)
Ag (0.167, 0.167, 0.499)
Pd (0.605, 0.605, 0.605)
Pd (0.186, 0.605, 0.605)
Pd (0.605, 0.186, 0.605)
Pd (0.605, 0.605, 0.186)

VASP calculation (PBE-GGA) on Pr3AgPd5 after structural relaxation.

Values from the calculation:
energy of formation from the pure elements = -0.414 eV/atom
total magnetization = 0.0000 μB per atom

Cell: 8.541 8.541 8.306 Å, 120.94 120.94 90.00°
Atoms (fractional coordinates):
Pr (0.632, 0.132, 0.000)
Pr (0.368, 0.868, 0.000)
Pr (0.868, 0.632, 0.000)
Pr (0.132, 0.368, 0.000)
Pr (0.250, 0.250, 0.500)
Pr (0.750, 0.750, 0.500)
Ag (0.750, 0.250, 0.500)
Ag (0.250, 0.750, 0.500)
Pd (0.052, 0.552, 0.716)
Pd (0.665, 0.165, 0.716)
Pd (0.165, 0.052, 0.716)
Pd (0.552, 0.665, 0.716)
Pd (0.948, 0.448, 0.284)
Pd (0.335, 0.835, 0.284)
Pd (0.835, 0.948, 0.284)
Pd (0.448, 0.335, 0.284)
Pd (0.500, 0.500, 0.000)
Pd (0.000, 0.000, 0.000)

VASP calculation (PBE-GGA) on Pr5Ag2Pd2 after structural relaxation.

Values from the calculation:
energy of formation from the pure elements = -0.380 eV/atom
total magnetization = 0.0000 μB per atom

Cell: 6.601 7.525 11.293 Å, 109.46 106.99 90.00°
Atoms (fractional coordinates):
Pr (0.259, 0.646, 0.843)
Pr (0.741, 0.803, 0.157)
Pr (0.084, 0.146, 0.843)
Pr (0.916, 0.303, 0.157)
Pr (0.315, 0.009, 0.318)
Pr (0.685, 0.692, 0.682)
Pr (0.503, 0.509, 0.318)
Pr (0.497, 0.192, 0.682)
Pr (0.096, 0.752, 0.500)
Pr (0.904, 0.252, 0.500)
Ag (0.185, 0.613, 0.105)
Ag (0.815, 0.508, 0.895)
Ag (0.420, 0.113, 0.105)
Ag (0.580, 0.008, 0.895)
Pd (0.000, 0.909, 0.000)
Pd (0.500, 0.409, 0.000)
Pd (0.319, 0.404, 0.500)
Pd (0.681, 0.904, 0.500)

VASP calculation (PBE-GGA) on Pr4Ag5Pd2 after structural relaxation.

Values from the calculation:
energy of formation from the pure elements = -0.392 eV/atom
total magnetization = 0.0000 μB per atom

Cell: 4.044 7.541 8.978 Å, 94.63 90.00 90.00°
Atoms (fractional coordinates):
Pr (0.500, 0.761, 0.576)
Pr (0.500, 0.199, 0.863)
Pr (0.500, 0.239, 0.424)
Pr (0.500, 0.801, 0.137)
Ag (0.000, 0.543, 0.328)
Ag (0.000, 0.164, 0.136)
Ag (0.000, 0.500, 0.000)
Ag (0.000, 0.836, 0.864)
Ag (0.000, 0.457, 0.672)
Pd (0.000, 0.078, 0.642)
Pd (0.000, 0.922, 0.358)

VASP calculation (PBE-GGA) on PrAg2Pd5 after structural relaxation.

Values from the calculation:
energy of formation from the pure elements = -0.377 eV/atom
total magnetization = 0.0000 μB per atom

Cell: 4.240 4.240 8.448 Å, 104.53 104.53 90.00°
Atoms (fractional coordinates):
Pr (0.000, 0.000, 0.000)
Ag (0.251, 0.251, 0.501)
Ag (0.749, 0.749, 0.499)
Pd (0.500, 0.500, 0.000)
Pd (0.630, 0.130, 0.261)
Pd (0.130, 0.630, 0.261)
Pd (0.370, 0.870, 0.739)
Pd (0.870, 0.370, 0.739)